<P>
PBE DyCo6, optimized geometry; total magnetic moment = 0.083 μB/f.u.
1.0
5.214 0.000 0.000
-1.738 4.915 0.000
-1.738 -2.458 4.257
Co Dy
6 1
direct
0.750 0.500 0.250
0.250 0.500 0.750
0.750 0.250 0.500
0.250 0.750 0.500
0.500 0.750 0.250
0.500 0.250 0.750
0.000 0.000 0.000

<Q>
PBE DyCo6, optimized geometry; total magnetic moment = 8.820 μB/f.u.
1.0
-0.444 -3.071 3.678
2.639 -5.800 -4.524
9.183 2.006 2.785
Dy Co
4 24
direct
0.750 0.239 0.941
0.750 0.739 0.559
0.250 0.261 0.441
0.250 0.761 0.059
0.750 0.684 0.256
0.011 0.931 0.308
0.511 0.069 0.692
0.250 0.066 0.909
0.250 0.640 0.353
0.750 0.360 0.647
0.250 0.316 0.744
0.011 0.431 0.192
0.489 0.931 0.308
0.489 0.431 0.192
0.250 0.816 0.756
0.750 0.184 0.244
0.250 0.909 0.523
0.750 0.860 0.853
0.989 0.569 0.808
0.750 0.591 0.023
0.750 0.091 0.477
0.250 0.140 0.147
0.511 0.569 0.808
0.750 0.434 0.409
0.750 0.934 0.091
0.250 0.409 0.977
0.250 0.566 0.591
0.989 0.069 0.692

Which is most stable? The ranking, best first, is <Q>, <P>.